Entry 1:
Computed, not measured: a geometry-optimized Li8Hg3Bi4 structure at the PBE-GGA level of DFT.

```
30
Lattice="8.403 0.000 4.852 2.801 7.923 4.852 0.000 0.000 9.703" Properties=species:S:1:pos:R:3 pbc="T T T"
Li 9.731 6.881 12.255
Li 4.127 2.918 12.259
Li 8.553 2.918 9.703
Li 5.602 7.091 9.703
Li 5.602 0.831 9.703
Li 7.078 5.005 7.148
Li 5.457 1.042 4.852
Li 1.473 1.042 2.552
Li 2.801 4.798 4.852
Li 5.748 6.881 14.555
Li 1.473 1.042 7.152
Li 2.651 5.005 9.703
Li 8.403 3.125 14.555
Li 9.731 6.881 16.855
Li 4.127 2.918 7.148
Li 7.078 5.005 12.259
Hg 4.203 5.940 7.280
Hg 7.001 1.983 7.280
Hg 8.400 5.940 9.703
Hg 2.804 1.983 9.703
Hg 7.001 1.983 12.126
Hg 4.203 5.940 12.126
Bi 1.401 3.961 7.278
Bi 0.000 0.000 0.000
Bi 0.000 0.000 4.852
Bi 1.401 3.961 2.426
Bi 5.602 3.961 9.703
Bi 5.602 3.961 4.852
Bi 4.202 0.000 2.426
Bi 4.202 0.000 7.278
```

Calculated values
energy of formation	-0.377	eV per atom
total magnetic moment	0.000	μB/cell

Entry 2:
Computed, not measured: a geometry-optimized LiHg8Bi2 structure at the PBE-GGA level of DFT.

```
11
Lattice="-0.946 -2.814 1.505 1.693 -3.722 -6.940 9.985 2.652 7.582" Properties=species:S:1:pos:R:3 pbc="T T T"
Hg 2.491 -3.503 -2.139
Hg 0.292 -5.423 -3.485
Hg 10.440 1.539 5.631
Hg 8.241 -0.382 4.285
Hg 7.407 -2.872 -1.624
Hg 2.293 -0.453 0.727
Hg 3.325 -1.012 3.770
Hg 8.440 -3.432 1.419
Bi 5.724 -2.829 3.005
Bi 5.008 -1.056 -0.859
Li -0.473 -1.407 0.752
```

Calculated values
energy of formation	-0.037	eV per atom
total magnetic moment	0.000	μB/cell

Entry 3:
Computed, not measured: a geometry-optimized Li4HgBi structure at the PBE-GGA level of DFT.

```
6
Lattice="4.367 -0.036 1.557 2.208 5.076 0.591 0.431 -1.145 5.431" Properties=species:S:1:pos:R:3 pbc="T T T"
Li 4.955 1.922 6.507
Li 2.050 1.973 1.071
Li 1.466 -0.072 2.662
Li 5.539 3.967 4.916
Bi 3.503 1.948 3.789
Hg 4.367 -0.036 1.557
```

Calculated values
excess energy over the best structure of this formula in the dataset	1.46	kcal/mol of atoms
energy of formation	-0.336	eV per atom
total magnetic moment	0.000	μB/cell

Entry 4:
Computed, not measured: a geometry-optimized Li4HgBi2 structure at the PBE-GGA level of DFT.

```
7
Lattice="-1.089 4.498 1.095 -3.407 -0.017 -3.319 -4.549 -2.241 4.681" Properties=species:S:1:pos:R:3 pbc="T T T"
Hg -2.248 2.241 -1.112
Li -2.948 -0.622 -0.379
Li -5.008 -1.636 1.741
Li -1.789 1.636 1.828
Li -3.849 0.622 3.948
Bi -4.522 1.120 1.229
Bi 0.000 0.000 0.000
```

Calculated values
excess energy over the best structure of this formula in the dataset	0.00	kcal/mol of atoms
energy of formation	-0.382	eV per atom
total magnetic moment	0.000	μB/cell